1.
This record from the Alexandria database describes a relaxed structure of AlOsPt2I. The functional is PBE-GGA.

abc: 4.904 4.904 4.897
angles: 90.00 90.00 90.00
Space group P4/mmm (No. 123)
Inequivalent atoms, fractional coordinates:
Al 0.000 0.000 0.000 x1
Os 0.000 0.000 0.500 x1
Pt 0.000 0.500 0.500 x2
I 0.500 0.500 0.000 x1

Summary:
The total energy is -4.787 eV per atom. For the raw formation energy, the calculation gives 4.670 eV/f.u.

=====

2.
This record from the Alexandria database describes a relaxed structure of La6PdAu2. The functional is PBE-GGA.

abc: 6.836 7.802 12.421
angles: 90.00 119.89 90.00
Space group P2_1/c (No. 14)
Inequivalent atoms, fractional coordinates:
La 0.097 0.201 0.434 x4
La 0.273 0.663 0.441 x4
La 0.392 0.040 0.240 x4
Pd 0.500 0.000 0.500 x2
Au 0.160 0.112 0.728 x4

Summary:
Its formation energy is -4.51 eV per formula unit. The total energy is -5.091 eV per atom.

=====

3.
This record from the Alexandria database describes a relaxed structure of HfGaHg. The functional is PBE-GGA.

abc: 3.168 3.168 11.941
angles: 90.00 90.00 90.00
Space group I4mm (No. 107)
Inequivalent atoms, fractional coordinates:
Hf 0.000 0.000 0.000 x2
Ga 0.000 0.000 0.350 x2
Hg 0.000 0.000 0.680 x2

Summary:
Its formation energy is -0.22 eV per formula unit. The total energy is -4.502 eV per atom. For the energy above the most stable polymorph in this dataset, the calculation gives 2.5 kJ per mole of atoms.

=====

4.
This record from the Alexandria database describes a relaxed structure of BrO. The functional is PBE-GGA.

abc: 13.019 6.652 2.660
angles: 90.00 92.55 90.00
Space group C2/m (No. 12)
Inequivalent atoms, fractional coordinates:
Br 0.157 0.000 0.480 x4
O 0.036 0.500 0.158 x4

Summary:
The total energy is -3.121 eV per atom. For the raw formation energy, the calculation gives 0.390 eV/f.u. For the energy above the most stable polymorph in this dataset, the calculation gives 5.0 kJ per mole of atoms.

=====

5.
This record from the Alexandria database describes a relaxed structure of CeNd5Sm4. The functional is PBE-GGA.

abc: 18.151 3.548 11.166
angles: 90.00 107.05 90.00
Space group C2/m (No. 12)
Inequivalent atoms, fractional coordinates:
Ce 0.000 0.000 0.000 x2
Nd 0.000 0.000 0.500 x2
Nd 0.105 0.500 0.285 x4
Nd 0.206 0.500 0.601 x4
Sm 0.092 0.500 0.809 x4
Sm 0.195 0.000 0.081 x4

Summary:
Its formation energy is 1.01 eV per formula unit. The total energy is -4.764 eV per atom.

=====

6.
This record from the Alexandria database describes a relaxed structure of TbBiPd2. The functional is PBE-GGA.

abc: 4.648 4.648 3.941
angles: 90.00 90.00 90.00
Space group P4/mmm (No. 123)
Inequivalent atoms, fractional coordinates:
Tb 0.000 0.000 0.000 x1
Bi 0.500 0.500 0.000 x1
Pd 0.000 0.500 0.500 x2

Summary:
Its formation energy is -2.61 eV per formula unit. The total energy is -5.376 eV per atom.

=====

7.
This record from the Alexandria database describes a relaxed structure of Cd2HgHRh. The functional is PBE-GGA.

abc: 5.329 5.329 3.393
angles: 90.00 90.00 90.00
Space group P4/mmm (No. 123)
Inequivalent atoms, fractional coordinates:
Cd 0.000 0.500 0.000 x2
Hg 0.000 0.000 0.500 x1
H 0.500 0.500 0.500 x1
Rh 0.500 0.500 0.000 x1

Summary:
The total energy is -2.420 eV per atom. For the energy above the most stable polymorph in this dataset, the calculation gives 12.5 kJ per mole of atoms.

=====

8.
This record from the Alexandria database describes a relaxed structure of LaMnN3. The functional is PBE-GGA.

abc: 3.359 5.544 7.367
angles: 90.00 103.29 90.00
Space group P2_1/m (No. 11)
Inequivalent atoms, fractional coordinates:
La 0.162 0.250 0.323 x2
Mn 0.370 0.250 0.740 x2
N 0.204 0.750 0.409 x2
N 0.458 0.012 0.913 x4

Summary:
The total energy is -8.381 eV per atom. For the raw formation energy, the calculation gives -2.833 eV/f.u.

=====

9.
This record from the Alexandria database describes a relaxed structure of SbPPb. The functional is PBE-GGA.

abc: 14.612 4.480 5.625
angles: 90.00 100.58 90.00
Space group Cm (No. 8)
Inequivalent atoms, fractional coordinates:
Sb 0.000 0.000 0.000 x2
Sb 0.213 0.000 0.725 x2
P 0.344 0.000 0.476 x2
P 0.473 0.000 0.734 x2
Pb 0.103 0.500 0.428 x2
Pb 0.309 0.500 0.151 x2

Summary:
The total energy is -4.331 eV per atom. For the raw formation energy, the calculation gives 0.249 eV/f.u. For the energy above the most stable polymorph in this dataset, the calculation gives 0.7 kJ per mole of atoms.

=====

10.
This record from the Alexandria database describes a relaxed structure of TbPr5DyHo2. The functional is PBE-GGA.

abc: 5.677 20.566 10.757
angles: 90.00 90.00 90.00
Space group Cmc2_1 (No. 36)
Inequivalent atoms, fractional coordinates:
Tb 0.000 0.199 0.000 x4
Pr 0.000 0.015 0.007 x4
Pr 0.000 0.280 0.302 x4
Pr 0.000 0.296 0.695 x4
Pr 0.000 0.385 0.011 x4
Pr 0.000 0.483 0.734 x4
Dy 0.000 0.408 0.452 x4
Ho 0.000 0.112 0.729 x4
Ho 0.000 0.115 0.299 x4

Summary:
Its formation energy is 1.28 eV per formula unit. The total energy is -4.556 eV per atom.

=====

11.
This record from the Alexandria database describes a relaxed structure of La5Pr2In4. The functional is PBE-GGA.

abc: 8.980 3.528 11.005
angles: 90.00 95.20 90.00
Space group P2/m (No. 10)
Inequivalent atoms, fractional coordinates:
La 0.000 0.000 0.000 x1
La 0.046 0.000 0.336 x2
La 0.344 0.000 0.860 x2
Pr 0.422 0.000 0.362 x2
In 0.252 0.500 0.579 x2
In 0.300 0.500 0.123 x2

Summary:
Its formation energy is -3.59 eV per formula unit. The total energy is -4.431 eV per atom.

=====

12.
This record from the Alexandria database describes a relaxed structure of Rb2In2Se. The functional is PBE-GGA.

abc: 8.379 8.379 6.318
angles: 90.00 90.00 90.00
Space group P4/mbm (No. 127)
Inequivalent atoms, fractional coordinates:
Rb 0.153 0.347 0.000 x4
In 0.151 0.651 0.500 x4
Se 0.000 0.000 0.000 x2

Summary:
The total energy is -2.190 eV per atom. For the raw formation energy, the calculation gives -0.052 eV/f.u. For the energy above the most stable polymorph in this dataset, the calculation gives 35.8 kJ per mole of atoms.

=====

no.,mass density (Mg/m³)
1,10.35
2,7.71
3,12.44
4,2.77
5,7.07
6,11.33
7,9.12
8,5.87
9,6.60
10,7.17
11,6.87
12,3.59